No. 1
Below is an optimized crystal structure of TaZn4Cl, with properties calculated at the PBE level.

Values from the calculation:
**Energy relative to the elements, uncorrected**: 2.323 eV/f.u.
**DOS(E_F)**: 4.1 states/eV/f.u.

Cell and atoms, written as POSCAR:
```
TaZn4Cl
1.0
0.0000 3.6898 3.6898
3.6898 0.0000 3.6898
3.6898 3.6898 0.0000
Zn Ta Cl
4 1 1
Direct
0.3731 0.3731 0.3731
0.8806 0.3731 0.3731
0.3731 0.8806 0.3731
0.3731 0.3731 0.8806
0.0000 0.0000 0.0000
0.7500 0.7500 0.7500
```

No. 2
Below is an optimized crystal structure of TaZn2Cl, with properties calculated at the PBE level.

Values from the calculation:
**ΔE to the lowest computed polymorph**: 383 meV per atom
**Energy relative to the elements, uncorrected**: 0.968 eV/f.u.
**DOS(E_F)**: 2.1 states/eV/f.u.

Cell and atoms, written as POSCAR:
```
TaZn2Cl
1.0
-0.2899 -0.5611 -4.9427
-2.7079 -1.0268 0.2754
-4.4529 3.4964 -0.1357
Zn Ta Cl
2 1 1
Direct
0.0000 0.0081 0.9914
0.0000 0.4919 0.5086
0.5000 0.7500 0.7500
0.5000 0.2500 0.2500
```

- Which formula does entry 2 have?
  TaZn2Cl

Repeat the second record exactly.
Below is an optimized crystal structure of TaZn2Cl, with properties calculated at the PBE level.

Values from the calculation:
**ΔE to the lowest computed polymorph**: 383 meV per atom
**Energy relative to the elements, uncorrected**: 0.968 eV/f.u.
**DOS(E_F)**: 2.1 states/eV/f.u.

Cell and atoms, written as POSCAR:
```
TaZn2Cl
1.0
-0.2899 -0.5611 -4.9427
-2.7079 -1.0268 0.2754
-4.4529 3.4964 -0.1357
Zn Ta Cl
2 1 1
Direct
0.0000 0.0081 0.9914
0.0000 0.4919 0.5086
0.5000 0.7500 0.7500
0.5000 0.2500 0.2500
```

- Which of these has the lowest DOS(E_F)?
  TaZn2Cl

- Which value of energy relative to the elements, uncorrected does entry 1 give?
  2.323 eV/f.u.